DFT (PBE) results for a geometry-optimized DyTm6In structure.

## Properties
For the energy of formation, the calculation gives -112 meV/atom.

a b c (Å): 4.853 4.853 9.834
angles (deg): 90.00 90.00 90.00
Space group P4/mmm (No. 123)
Inequivalent atoms, fractional coordinates:
Dy 0.000 0.000 0.000 (multiplicity 1)
Tm 0.000 0.500 0.255 (multiplicity 4)
Tm 0.500 0.500 0.000 (multiplicity 1)
Tm 0.500 0.500 0.500 (multiplicity 1)
In 0.000 0.000 0.500 (multiplicity 1)

DFT (PBE) results for a geometry-optimized Al2InRu structure.

## Properties
For the energy of formation, the calculation gives -128 meV/atom.

a b c (Å): 9.020 3.105 4.865
angles (deg): 90.00 101.43 90.00
Space group C2/m (No. 12)
Inequivalent atoms, fractional coordinates:
Al 0.232 0.000 0.209 (multiplicity 4)
In 0.000 0.000 0.500 (multiplicity 2)
Ru 0.000 0.500 0.000 (multiplicity 2)

DFT (PBE) results for a geometry-optimized YPuSc2 structure.

## Properties
For the energy of formation, the calculation gives 143 meV/atom. For the offset from the most stable computed form, the calculation gives 0.16 eV/f.u.

a b c (Å): 5.372 5.372 3.709
angles (deg): 90.00 90.00 90.00
Space group P4/mmm (No. 123)
Inequivalent atoms, fractional coordinates:
Y 0.000 0.000 0.000 (multiplicity 1)
Pu 0.500 0.500 0.000 (multiplicity 1)
Sc 0.000 0.500 0.500 (multiplicity 2)

DFT (PBE) results for a geometry-optimized Th8NiSn2 structure.

## Properties
For the energy of formation, the calculation gives -160 meV/atom.

a b c (Å): 18.551 5.512 6.739
angles (deg): 90.00 109.76 90.00
Space group C2/m (No. 12)
Inequivalent atoms, fractional coordinates:
Th 0.003 0.000 0.241 (multiplicity 4)
Th 0.086 0.500 0.734 (multiplicity 4)
Th 0.140 0.500 0.301 (multiplicity 4)
Th 0.222 0.000 0.132 (multiplicity 4)
Ni 0.000 0.500 0.000 (multiplicity 2)
Sn 0.172 0.000 0.614 (multiplicity 4)

DFT (PBE) results for a geometry-optimized CaZn2Os structure.

## Properties
For the energy of formation, the calculation gives 381 meV/atom.

a b c (Å): 6.540 6.540 6.540
angles (deg): 90.00 90.00 90.00
Space group F-43m (No. 216)
Inequivalent atoms, fractional coordinates:
Ca 0.000 0.000 0.000 (multiplicity 4)
Zn 0.000 0.000 0.500 (multiplicity 4)
Zn 0.250 0.250 0.250 (multiplicity 4)
Os 0.250 0.250 0.750 (multiplicity 4)

DFT (PBE) results for a geometry-optimized Li2Ga2Pd structure.

## Properties
For the energy of formation, the calculation gives -475 meV/atom. For the offset from the most stable computed form, the calculation gives 0.00 eV/f.u.

a b c (Å): 8.549 3.975 8.665
angles (deg): 90.00 90.21 90.00
Space group C2/m (No. 12)
Inequivalent atoms, fractional coordinates:
Li 0.068 0.000 0.151 (multiplicity 4)
Li 0.159 0.000 0.447 (multiplicity 4)
Ga 0.031 0.500 0.658 (multiplicity 4)
Ga 0.147 0.500 0.954 (multiplicity 4)
Pd 0.220 0.000 0.758 (multiplicity 4)